# Tb2PrTm6 PBE-GGA optimized geometry
data_Tb2PrTm6
_space_group_name_H-M_alt 'P -6 m 2'
_space_group_IT_number 187
_space_group_name_Hall 'P -6 2'
_cell_length_a 3.5683
_cell_length_b 3.5683
_cell_length_c 25.9075
_cell_angle_alpha 90.00
_cell_angle_beta 90.00
_cell_angle_gamma 120.00
loop_
_atom_site_label
_atom_site_fract_x
_atom_site_fract_y
_atom_site_fract_z
Tb1 0.0000 0.0000 0.1713
Pr1 0.6667 0.3333 0.5000
Tm1 0.0000 0.0000 0.3864
Tm2 0.6667 0.3333 0.0642
Tm3 0.6667 0.3333 0.2806
# energy of formation = 0.06 eV/atom
# N(E_F) = 1.7207 states/eV/atom
# E_tot = -4.48 eV per atom
# ΔE to the lowest computed polymorph = 33 meV per atom

# Tb4Pr5Tm4 PBE-GGA optimized geometry
data_Tb4Pr5Tm4
_space_group_name_H-M_alt 'I 4/m'
_space_group_IT_number 87
_space_group_name_Hall '-I 4'
_cell_length_a 12.9918
_cell_length_b 12.9918
_cell_length_c 5.0758
_cell_angle_alpha 90.00
_cell_angle_beta 90.00
_cell_angle_gamma 90.00
loop_
_atom_site_label
_atom_site_fract_x
_atom_site_fract_y
_atom_site_fract_z
Tb1 0.1552 0.7665 0.0000
Pr1 0.0000 0.0000 0.0000
Pr2 0.0379 0.1964 0.5000
Tm1 0.0748 0.3872 0.0000
# energy of formation = 0.02 eV/atom
# N(E_F) = 1.4680 states/eV/atom
# E_tot = -4.61 eV per atom

# Tb6PrTm12 PBE-GGA optimized geometry
data_Tb6PrTm12
_space_group_name_H-M_alt 'R -3'
_space_group_IT_number 148
_space_group_name_Hall '-R 3'
_cell_length_a 11.8092
_cell_length_b 11.8092
_cell_length_c 15.0406
_cell_angle_alpha 90.00
_cell_angle_beta 90.00
_cell_angle_gamma 120.00
loop_
_atom_site_label
_atom_site_fract_x
_atom_site_fract_y
_atom_site_fract_z
Tb1 0.0063 0.4198 0.1742
Pr1 0.0000 0.0000 0.5000
Tm1 0.0280 0.8418 0.6925
Tm2 0.0377 0.8526 0.9154
# energy of formation = 0.16 eV/atom
# N(E_F) = 1.5120 states/eV/atom
# E_tot = -4.38 eV per atom
# ΔE to the lowest computed polymorph = 0 meV per atom